Density functional theory data (PBE-GGA) for crystalline Li2DyHoGe2 at its relaxed geometry.

It has space group P-3m1 (No. 164), with a = 4.3998 Å, b = 4.3998 Å, c = 7.1445 Å, α = 90.00°, β = 90.00° and γ = 120.00°. The asymmetric unit holds Li at (0.3333, 0.6667, 0.2539), Dy at (0.0000, 0.0000, 0.0000), Ho at (0.0000, 0.0000, 0.5000) and Ge at (0.3333, 0.6667, 0.7486).

The total magnetization comes out at 0.00 μB/cell. For the energy of formation from the pure elements, the calculation gives -687 meV per atom. For the total DFT energy (no corrections), the calculation gives -4.394 eV/atom.



Density functional theory data (PBE-GGA) for crystalline DyHoNi2Ge2 at its relaxed geometry.

It has space group P-3m1 (No. 164), with a = 4.2063 Å, b = 4.2063 Å, c = 7.1333 Å, α = 90.00°, β = 90.00° and γ = 120.00°. The asymmetric unit holds Dy at (0.0000, 0.0000, 0.0000), Ho at (0.0000, 0.0000, 0.5000), Ni at (0.3333, 0.6667, 0.2550) and Ge at (0.3333, 0.6667, 0.7470).

The total magnetization comes out at 0.00 μB/cell. For the energy of formation from the pure elements, the calculation gives -762 meV per atom. For the total DFT energy (no corrections), the calculation gives -5.759 eV/atom.



Density functional theory data (PBE-GGA) for crystalline DyHoNiGe at its relaxed geometry.

It has space group F-43m (No. 216), with a = 6.9482 Å, b = 6.9482 Å, c = 6.9482 Å, α = 90.00°, β = 90.00° and γ = 90.00°. The asymmetric unit holds Dy at (0.0000, 0.0000, 0.0000), Ho at (0.0000, 0.0000, 0.5000), Ni at (0.2500, 0.2500, 0.2500) and Ge at (0.2500, 0.2500, 0.7500).

The total magnetization comes out at 0.00 μB/cell. For the energy of formation from the pure elements, the calculation gives -548 meV per atom. For the total DFT energy (no corrections), the calculation gives -5.442 eV/atom.